*P*
This record from Alexandria via LeMat-Bulk describes a relaxed PaVBi crystal. The functional is PBE-GGA.

Lattice parameters (Å, degrees): 7.846 7.584 3.191 82.71 73.50 23.79
Atoms (fractional coordinates):
Pa: 0.000 0.000 0.000
V: 0.650 0.650 0.350
Bi: 0.302 0.302 0.698

*Q*
This record from Alexandria via LeMat-Bulk describes a relaxed PaVBi crystal. The functional is PBE-GGA.

Lattice parameters (Å, degrees): 4.112 4.112 4.860 90.00 90.00 120.00
Atoms (fractional coordinates):
Pa: 0.000 0.000 0.000
V: 0.667 0.333 0.168
Bi: 0.333 0.667 0.496

Relative to the most stable one, in meV per atom, the structures come out at *P* 0; *Q* 121.

*P*
This record from Alexandria via LeMat-Bulk describes a relaxed YPaBi2 crystal. The functional is PBE-GGA.

Lattice parameters (Å, degrees): 5.423 5.423 3.909 90.00 90.00 90.00
Atoms (fractional coordinates):
Y: 0.000 0.000 0.000
Pa: 0.500 0.500 0.000
Bi: 0.000 0.500 0.500
Bi: 0.500 0.000 0.500

*Q*
This record from Alexandria via LeMat-Bulk describes a relaxed YPaBi2 crystal. The functional is PBE-GGA.

Lattice parameters (Å, degrees): 7.850 7.850 7.850 33.01 33.01 33.01
Atoms (fractional coordinates):
Y: 0.000 0.000 0.000
Pa: 0.500 0.500 0.500
Bi: 0.251 0.251 0.251
Bi: 0.749 0.749 0.749

*R*
This record from Alexandria via LeMat-Bulk describes a relaxed YPaBi2 crystal. The functional is PBE-GGA.

Lattice parameters (Å, degrees): 5.455 5.455 5.455 60.00 60.00 60.00
Atoms (fractional coordinates):
Y: 0.000 0.000 0.000
Pa: 0.500 0.500 0.500
Bi: 0.250 0.250 0.250
Bi: 0.750 0.750 0.750

Relative to the most stable one, in meV per atom, the structures come out at *P* 100; *Q* 0; *R* 114.

*P*
This record from Alexandria via LeMat-Bulk describes a relaxed PaZnBi2 crystal. The functional is PBE-GGA.

Lattice parameters (Å, degrees): 4.906 4.906 4.259 90.00 90.00 90.00
Atoms (fractional coordinates):
Pa: 0.000 0.000 0.000
Zn: 0.500 0.500 0.000
Bi: 0.000 0.500 0.500
Bi: 0.500 0.000 0.500

*Q*
This record from Alexandria via LeMat-Bulk describes a relaxed PaZnBi2 crystal. The functional is PBE-GGA.

Lattice parameters (Å, degrees): 4.073 4.073 6.479 90.00 90.00 90.00
Atoms (fractional coordinates):
Pa: 0.000 0.000 0.000
Zn: 0.000 0.000 0.500
Bi: 0.500 0.500 0.248
Bi: 0.500 0.500 0.752

*R*
This record from Alexandria via LeMat-Bulk describes a relaxed PaZnBi2 crystal. The functional is PBE-GGA.

Lattice parameters (Å, degrees): 12.157 12.157 12.157 15.73 15.73 15.73
Atoms (fractional coordinates):
Pa: 0.000 0.000 0.000
Zn: 0.500 0.500 0.500
Bi: 0.412 0.412 0.412
Bi: 0.588 0.588 0.588

Relative to the most stable one, in meV per atom, the structures come out at *P* 0; *Q* 92; *R* 248.

*P*
This record from Alexandria via LeMat-Bulk describes a relaxed ZrPaBi2 crystal. The functional is PBE-GGA.

Lattice parameters (Å, degrees): 11.884 11.884 11.884 16.04 16.04 16.04
Atoms (fractional coordinates):
Zr: 0.000 0.000 0.000
Pa: 0.500 0.500 0.500
Bi: 0.087 0.087 0.087
Bi: 0.913 0.913 0.913

*Q*
This record from Alexandria via LeMat-Bulk describes a relaxed ZrPaBi2 crystal. The functional is PBE-GGA.

Lattice parameters (Å, degrees): 5.288 5.288 5.288 60.00 60.00 60.00
Atoms (fractional coordinates):
Zr: 0.000 0.000 0.000
Pa: 0.500 0.500 0.500
Bi: 0.250 0.250 0.250
Bi: 0.750 0.750 0.750

Relative to the most stable one, in meV per atom, the structures come out at *P* 361; *Q* 0.

*P*
This record from Alexandria via LeMat-Bulk describes a relaxed ZrPaBi2 crystal. The functional is PBE-GGA.

Lattice parameters (Å, degrees): 6.545 6.545 5.212 90.00 90.00 110.13
Atoms (fractional coordinates):
Zr: 0.119 0.881 0.750
Zr: 0.881 0.119 0.250
Pa: 0.368 0.632 0.250
Pa: 0.632 0.368 0.750
Bi: 0.124 0.369 0.750
Bi: 0.369 0.124 0.250
Bi: 0.631 0.876 0.750
Bi: 0.876 0.631 0.250

*Q*
This record from Alexandria via LeMat-Bulk describes a relaxed ZrPaBi2 crystal. The functional is PBE-GGA.

Lattice parameters (Å, degrees): 5.239 5.239 3.818 90.00 90.00 90.00
Atoms (fractional coordinates):
Zr: 0.000 0.000 0.000
Pa: 0.500 0.500 0.000
Bi: 0.000 0.500 0.500
Bi: 0.500 0.000 0.500

Relative to the most stable one, in meV per atom, the structures come out at *P* 0; *Q* 5.

*P*
This record from Alexandria via LeMat-Bulk describes a relaxed Zr2PaBi crystal. The functional is PBE-GGA.

Lattice parameters (Å, degrees): 10.751 10.751 10.751 17.69 17.69 17.69
Atoms (fractional coordinates):
Zr: 0.000 0.000 0.000
Zr: 0.168 0.168 0.168
Pa: 0.750 0.750 0.750
Bi: 0.584 0.584 0.584

*Q*
This record from Alexandria via LeMat-Bulk describes a relaxed Zr2PaBi crystal. The functional is PBE-GGA.

Lattice parameters (Å, degrees): 5.123 5.123 5.123 60.00 60.00 60.00
Atoms (fractional coordinates):
Zr: 0.250 0.250 0.250
Zr: 0.750 0.750 0.750
Pa: 0.000 0.000 0.000
Bi: 0.500 0.500 0.500

*R*
This record from Alexandria via LeMat-Bulk describes a relaxed Zr2PaBi crystal. The functional is PBE-GGA.

Lattice parameters (Å, degrees): 10.062 3.321 3.321 62.06 90.00 90.00
Atoms (fractional coordinates):
Zr: 0.248 0.000 0.000
Zr: 0.752 0.000 0.000
Pa: 0.500 0.500 0.500
Bi: 0.000 0.651 0.651

*S*
This record from Alexandria via LeMat-Bulk describes a relaxed Zr2PaBi crystal. The functional is PBE-GGA.

Lattice parameters (Å, degrees): 4.881 4.881 4.001 90.00 90.00 90.00
Atoms (fractional coordinates):
Zr: 0.000 0.500 0.000
Zr: 0.500 0.000 0.000
Pa: 0.000 0.000 0.500
Bi: 0.500 0.500 0.500

Relative to the most stable one, in meV per atom, the structures come out at *P* 181; *Q* 162; *R* 102; *S* 0.

*P*
This record from Alexandria via LeMat-Bulk describes a relaxed BiPb5 crystal. The functional is PBE-GGA.

Lattice parameters (Å, degrees): 6.143 10.654 6.178 90.00 109.42 90.00
Atoms (fractional coordinates):
Bi: 0.002 0.250 0.252
Bi: 0.998 0.750 0.748
Pb: 0.000 0.084 0.750
Pb: 0.000 0.416 0.750
Pb: 0.000 0.584 0.250
Pb: 0.000 0.916 0.250
Pb: 0.498 0.750 0.248
Pb: 0.499 0.085 0.250
Pb: 0.499 0.415 0.250
Pb: 0.501 0.585 0.750
Pb: 0.501 0.915 0.750
Pb: 0.502 0.250 0.752

*Q*
This record from Alexandria via LeMat-Bulk describes a relaxed BiPb5 crystal. The functional is PBE-GGA.

Lattice parameters (Å, degrees): 9.454 9.454 3.525 90.00 90.00 142.74
Atoms (fractional coordinates):
Bi: 0.000 0.000 0.000
Pb: 0.165 0.835 0.500
Pb: 0.331 0.669 0.000
Pb: 0.500 0.500 0.500
Pb: 0.669 0.331 0.000
Pb: 0.835 0.165 0.500

Relative to the most stable one, in meV per atom, the structures come out at *P* 0; *Q* 15.

*P*
This record from Alexandria via LeMat-Bulk describes a relaxed Bi3Pb crystal. The functional is PBE-GGA.

Lattice parameters (Å, degrees): 4.593 6.374 4.940 90.00 90.00 90.00
Atoms (fractional coordinates):
Bi: 0.000 0.000 0.000
Bi: 0.000 0.500 0.032
Bi: 0.500 0.000 0.576
Pb: 0.500 0.500 0.461

*Q*
This record from Alexandria via LeMat-Bulk describes a relaxed Bi3Pb crystal. The functional is PBE-GGA.

Lattice parameters (Å, degrees): 6.653 6.653 6.891 108.61 108.61 82.68
Atoms (fractional coordinates):
Bi: 0.063 0.063 0.247
Bi: 0.167 0.576 0.242
Bi: 0.424 0.833 0.758
Bi: 0.576 0.167 0.242
Bi: 0.833 0.424 0.758
Bi: 0.937 0.937 0.753
Pb: 0.337 0.337 0.778
Pb: 0.663 0.663 0.222

*R*
This record from Alexandria via LeMat-Bulk describes a relaxed Bi3Pb crystal. The functional is PBE-GGA.

Lattice parameters (Å, degrees): 5.664 5.664 5.664 60.00 60.00 60.00
Atoms (fractional coordinates):
Bi: 0.000 0.000 0.000
Bi: 0.250 0.250 0.250
Bi: 0.750 0.750 0.750
Pb: 0.500 0.500 0.500

*S*
This record from Alexandria via LeMat-Bulk describes a relaxed Bi3Pb crystal. The functional is PBE-GGA.

Lattice parameters (Å, degrees): 6.610 6.610 6.610 137.76 137.76 61.27
Atoms (fractional coordinates):
Bi: 0.000 0.000 0.000
Bi: 0.250 0.750 0.500
Bi: 0.750 0.250 0.500
Pb: 0.500 0.500 0.000

Relative to the most stable one, in meV per atom, the structures come out at *P* 11; *Q* 0; *R* 63; *S* 50.